No. 1
The following is a DFT calculation (PBE-GGA) of crystalline CaTb2NdBi4 at its relaxed geometry.

Output
Symmetry   No. 10
Formation enthalpy at 0 K   -834 meV per atom
Total magnetic moment   0.00 μB per cell

abc: 7.8852 4.5304 7.9315
angles: 90.00 109.19 90.00
With the nearest neighbours (Å) after each atom.
Element x y z (fractional)
Ca: 0.0000 0.0000 0.0000  6 Bi 3.25-3.26
Tb: 0.0000 0.5000 0.5000  6 Bi 3.19
Tb: 0.5000 0.0000 0.5000  6 Bi 3.18-3.19
Nd: 0.5000 0.5000 0.0000  6 Bi 3.26
Bi: 0.2471 0.0000 0.7423  3 Tb 3.19, 1 Ca 3.25, 2 Nd 3.26
Bi: 0.2531 0.5000 0.2586  3 Tb 3.18-3.19, 1 Nd 3.26, 2 Ca 3.26
Bi: 0.7469 0.5000 0.7414  3 Tb 3.18-3.19, 1 Nd 3.26, 2 Ca 3.26
Bi: 0.7529 0.0000 0.2577  3 Tb 3.19, 1 Ca 3.25, 2 Nd 3.26



No. 2
The following is a DFT calculation (PBE-GGA) of crystalline PbAu at its relaxed geometry.

Output
Symmetry   No. 166
Formation enthalpy at 0 K   -39 meV per atom
Total magnetic moment   0.00 μB per cell

abc: 6.3272 6.3272 6.3272
angles: 42.69 42.69 42.69
With the nearest neighbours (Å) after each atom.
Element x y z (fractional)
Pb: 0.1034 0.1034 0.1034  3 Au 2.93
Pb: 0.8966 0.8966 0.8966  3 Au 2.93
Au: 0.3011 0.3011 0.3011  3 Au 2.88, 3 Pb 2.93
Au: 0.6989 0.6989 0.6989  3 Au 2.88, 3 Pb 2.93



No. 3
The following is a DFT calculation (PBE-GGA) of crystalline Cu2GeTe3 at its relaxed geometry.

Output
E_form (uncorrected)   -0.0006 eV per atom
Symmetry   No. 11
Total magnetic moment   0.00 μB per cell

abc: 7.3698 3.9054 10.8064
angles: 90.00 100.81 90.00
With the nearest neighbours (Å) after each atom.
Element x y z (fractional)
Cu: 0.0247 0.2500 0.3930  4 Te 2.64-2.69, 2 Ge 2.68
Cu: 0.4164 0.7500 0.9290  4 Te 2.61-2.64, 2 Cu 2.64
Cu: 0.5836 0.2500 0.0710  4 Te 2.61-2.64, 2 Cu 2.64
Cu: 0.9753 0.7500 0.6070  4 Te 2.64-2.69, 2 Ge 2.68
Ge: 0.2014 0.2500 0.7122  2 Cu 2.68, 3 Te 2.80-2.87
Ge: 0.7986 0.7500 0.2878  2 Cu 2.68, 3 Te 2.80-2.87
Te: 0.0539 0.7500 0.8605  2 Cu 2.64-2.69, 2 Ge 2.87
Te: 0.2528 0.7500 0.4811  3 Cu 2.64-2.66
Te: 0.4248 0.7500 0.1718  3 Cu 2.61-2.62, 1 Ge 2.80
Te: 0.5752 0.2500 0.8282  3 Cu 2.61-2.62, 1 Ge 2.80
Te: 0.7472 0.2500 0.5189  3 Cu 2.64-2.66
Te: 0.9461 0.2500 0.1395  2 Cu 2.64-2.69, 2 Ge 2.87



No. 4
The following is a DFT calculation (PBE-GGA) of crystalline Dy2TiGe2Rh5 at its relaxed geometry.

Output
Symmetry   No. 127
Formation enthalpy at 0 K   -815 meV per atom
Total magnetic moment   0.00 μB per cell

abc: 9.7455 9.7455 3.5930
angles: 90.00 90.00 90.00
With the nearest neighbours (Å) after each atom.
Element x y z (fractional)
Dy: 0.1729 0.3271 0.0000  3 Ge 2.77-2.95, 2 Rh 2.98
Dy: 0.3271 0.8271 0.0000  3 Ge 2.77-2.95, 2 Rh 2.98
Dy: 0.6729 0.1729 0.0000  3 Ge 2.77-2.95, 2 Rh 2.98
Dy: 0.8271 0.6729 0.0000  3 Ge 2.77-2.95, 2 Rh 2.98
Ti: 0.0000 0.0000 0.0000  8 Rh 2.76
Ti: 0.5000 0.5000 0.0000  8 Rh 2.76
Ge: 0.1258 0.6258 0.0000  6 Rh 2.50-2.51, 1 Dy 2.77
Ge: 0.3742 0.1258 0.0000  6 Rh 2.50-2.51, 1 Dy 2.77
Ge: 0.6258 0.8742 0.0000  6 Rh 2.50-2.51, 1 Dy 2.77
Ge: 0.8742 0.3742 0.0000  6 Rh 2.50-2.51, 1 Dy 2.77
Rh: 0.0000 0.5000 0.5000  4 Ge 2.50
Rh: 0.0658 0.7956 0.5000  2 Ge 2.51, 2 Ti 2.76
Rh: 0.2044 0.0658 0.5000  2 Ge 2.51, 2 Ti 2.76
Rh: 0.2956 0.5658 0.5000  2 Ge 2.51, 2 Ti 2.76
Rh: 0.4342 0.2956 0.5000  2 Ge 2.51, 2 Ti 2.76
Rh: 0.5000 0.0000 0.5000  4 Ge 2.50
Rh: 0.5658 0.7044 0.5000  2 Ge 2.51, 2 Ti 2.76
Rh: 0.7044 0.4342 0.5000  2 Ge 2.51, 2 Ti 2.76
Rh: 0.7956 0.9342 0.5000  2 Ge 2.51, 2 Ti 2.76
Rh: 0.9342 0.2044 0.5000  2 Ge 2.51, 2 Ti 2.76



No. 5
The following is a DFT calculation (PBE-GGA) of crystalline Tm3BiSe6 at its relaxed geometry.

Output
E_form (uncorrected)   -1.4556 eV per atom
Symmetry   No. 11
Total magnetic moment   0.00 μB per cell

abc: 11.6758 4.1286 11.7922
angles: 90.00 109.56 90.00
With the nearest neighbours (Å) after each atom.
Element x y z (fractional)
Tm: 0.0665 0.2500 0.1648  6 Se 2.83-2.86
Tm: 0.1695 0.7500 0.4938  5 Se 2.76-2.98
Tm: 0.3408 0.2500 0.9190  6 Se 2.82-2.84
Tm: 0.6592 0.7500 0.0810  6 Se 2.82-2.84
Tm: 0.8305 0.2500 0.5062  5 Se 2.76-2.98
Tm: 0.9335 0.7500 0.8352  6 Se 2.83-2.86
Bi: 0.4774 0.2500 0.3133  6 Se 2.91-3.23
Bi: 0.5226 0.7500 0.6867  6 Se 2.91-3.23
Se: 0.0151 0.2500 0.3826  4 Tm 2.76-2.98
Se: 0.1066 0.2500 0.9387  4 Tm 2.82-2.86
Se: 0.2321 0.7500 0.2768  3 Tm 2.83-2.89
Se: 0.2992 0.7500 0.7456  3 Tm 2.83-2.85, 1 Bi 2.91
Se: 0.3812 0.2500 0.5273  3 Bi 2.91-3.09, 2 Tm 3.14
Se: 0.4197 0.7500 0.0910  3 Tm 2.82-2.84
Se: 0.5803 0.2500 0.9090  3 Tm 2.82-2.84
Se: 0.6188 0.7500 0.4727  3 Bi 2.91-3.09, 2 Tm 3.14
Se: 0.7008 0.2500 0.2544  3 Tm 2.83-2.85, 1 Bi 2.91
Se: 0.7679 0.2500 0.7232  3 Tm 2.83-2.89
Se: 0.8934 0.7500 0.0613  4 Tm 2.82-2.86
Se: 0.9849 0.7500 0.6174  4 Tm 2.76-2.98



No. 6
The following is a DFT calculation (PBE-GGA) of crystalline IrSe3Br at its relaxed geometry.

Output
E_form (uncorrected)   0.5245 eV per atom
Symmetry   No. 221
Total magnetic moment   0.00 μB per cell

abc: 4.9434 4.9434 4.9434
angles: 90.00 90.00 90.00
With the nearest neighbours (Å) after each atom.
Element x y z (fractional)
Ir: 0.0000 0.0000 0.0000  6 Se 2.47
Se: 0.0000 0.0000 0.5000  2 Ir 2.47
Se: 0.0000 0.5000 0.0000  2 Ir 2.47
Se: 0.5000 0.0000 0.0000  2 Ir 2.47
Br: 0.5000 0.5000 0.5000  12 Se 3.50



No. 7
The following is a DFT calculation (PBE-GGA) of crystalline CdNiRhPb at its relaxed geometry.

Output
Symmetry   No. 216
Formation enthalpy at 0 K   85 meV per atom
Total magnetic moment   0.00 μB per cell

abc: 4.6130 4.6130 4.6130
angles: 60.00 60.00 60.00
With the nearest neighbours (Å) after each atom.
Element x y z (fractional)
Cd: 0.0000 0.0000 0.0000  4 Rh 2.82, 4 Ni 2.82
Ni: 0.2500 0.2500 0.2500  4 Cd 2.82, 4 Pb 2.82
Rh: 0.7500 0.7500 0.7500  4 Cd 2.82, 4 Pb 2.82
Pb: 0.5000 0.5000 0.5000  4 Rh 2.82, 4 Ni 2.82



No. 8
The following is a DFT calculation (PBE-GGA) of crystalline In3AgSn2Se8 at its relaxed geometry.

Output
E_form (uncorrected)   -0.3997 eV per atom
Symmetry   No. 160
Total magnetic moment   0.00 μB per cell

abc: 8.1969 8.1969 8.1969
angles: 60.81 60.81 60.81
With the nearest neighbours (Å) after each atom.
Element x y z (fractional)
In: 0.0137 0.4931 0.4931  6 Se 2.76-2.85
In: 0.4931 0.0137 0.4931  6 Se 2.76-2.85
In: 0.4931 0.4931 0.0137  6 Se 2.76-2.85
Ag: 0.1227 0.1227 0.1227  4 Se 2.67
Sn: 0.4935 0.4935 0.4935  6 Se 2.78-2.84
Sn: 0.8755 0.8755 0.8755  4 Se 2.76-2.78
Se: 0.2551 0.2551 0.7276  1 Ag 2.67, 2 In 2.77, 1 Sn 2.78
Se: 0.2551 0.7276 0.2551  1 Ag 2.67, 2 In 2.77, 1 Sn 2.78
Se: 0.2567 0.2567 0.2567  1 Ag 2.67, 3 In 2.76
Se: 0.2832 0.7365 0.7365  2 Sn 2.76-2.84, 2 In 2.85
Se: 0.7276 0.2551 0.2551  1 Ag 2.67, 2 In 2.77, 1 Sn 2.78
Se: 0.7360 0.7360 0.7360  1 Sn 2.78, 3 In 2.85
Se: 0.7365 0.2832 0.7365  2 Sn 2.76-2.84, 2 In 2.85
Se: 0.7365 0.7365 0.2832  2 Sn 2.76-2.84, 2 In 2.85



| no. | calculated total energy (eV per formula unit) |
| --- | --- |
| 1 | -38.23 |
| 2 | -7.06 |
| 3 | -22.24 |
| 4 | -71.24 |
| 5 | -52.76 |
| 6 | -18.36 |
| 7 | -17.41 |
| 8 | -52.54 |